No. 1
Computed, not measured: a PBEsol-optimized structure of HgRu at the meta-GGA SCAN level of DFT.

```
HgRu
1.0
0.000 2.681 2.681
2.681 0.000 2.681
2.681 2.681 0.000
Hg Ru
1 1
Cartesian
0.000 0.000 0.000
2.681 2.681 2.681
```

total moment: 0.997 μB/atom
space group: No. 225
E: -50.338 eV/atom
ΔH_f (0 K): 1.158 eV per atom
ρ: 13.0 g/cm³
V: 19.3 Å³ per atom

=====

No. 2
Computed, not measured: a PBEsol-optimized structure of P2AuCl at the meta-GGA SCAN level of DFT.

```
P2AuCl
1.0
3.423 0.000 0.000
0.000 3.423 0.000
0.000 0.000 6.839
P Au Cl
2 1 1
Cartesian
0.000 1.711 0.000
1.711 0.000 0.000
0.000 0.000 3.420
1.711 1.711 3.420
```

total moment: 0.000 μB/atom
space group: No. 123
E: -23.929 eV/atom
polymorph energy (0 for the lowest one): 23.3 kJ per mole of atoms
ρ: 6.1 g/cm³
V: 20.0 Å³ per atom
raw formation energy: 0.5537 eV per atom

=====

No. 3
Computed, not measured: a PBEsol-optimized structure of Lu3Mg2MnS8 at the meta-GGA SCAN level of DFT.

```
Lu3Mg2MnS8
1.0
3.803 2.196 6.093
-3.803 2.196 6.093
0.000 -4.392 6.093
Lu Mg Mn S
3 2 1 8
Cartesian
-1.902 -1.098 6.093
-1.902 1.098 12.186
0.000 2.196 6.093
0.000 0.000 2.261
0.000 0.000 16.017
0.000 0.000 9.139
0.000 0.000 4.672
0.000 -2.011 7.690
-1.742 1.006 7.690
-1.742 -1.006 10.588
1.742 1.006 7.690
1.742 -1.006 10.588
0.000 2.011 10.588
0.000 0.000 13.606
```

total moment: 0.286 μB/atom
space group: No. 166
E: -21.243 eV/atom
ρ: 4.8 g/cm³
V: 21.8 Å³ per atom
raw formation energy: -1.8671 eV per atom

=====

No. 4
Computed, not measured: a PBEsol-optimized structure of BaMn2Be at the meta-GGA SCAN level of DFT.

```
BaMn2Be
1.0
1.944 1.122 5.655
-1.944 1.122 5.655
0.000 -2.245 5.655
Ba Mn Be
1 2 1
Cartesian
0.000 0.000 0.000
0.000 0.000 3.040
0.000 0.000 13.925
0.000 0.000 8.482
```

total moment: 0.307 μB/atom
space group: No. 166
E: -19.577 eV/atom
ΔH_f (0 K): 0.526 eV per atom
ρ: 5.7 g/cm³
V: 18.5 Å³ per atom

=====

No. 5
Computed, not measured: a PBEsol-optimized structure of NiMoW2 at the meta-GGA SCAN level of DFT.

```
NiMoW2
1.0
3.885 0.000 0.000
0.000 3.885 0.000
0.000 0.000 3.782
Ni Mo W
1 1 2
Cartesian
0.000 0.000 0.000
1.943 1.943 0.000
0.000 1.943 1.891
1.943 0.000 1.891
```

total moment: 0.000 μB/atom
space group: No. 123
E: -47.419 eV/atom
polymorph energy (0 for the lowest one): 0.1 kJ per mole of atoms
ΔH_f (0 K): 0.190 eV per atom
ρ: 15.2 g/cm³
V: 14.3 Å³ per atom

=====

No. 6
Computed, not measured: a PBEsol-optimized structure of K6Na3GaSb4 at the meta-GGA SCAN level of DFT.

```
K6Na3GaSb4
1.0
10.121 0.000 0.000
-5.061 8.765 0.000
0.000 0.000 10.360
K Na Ga Sb
12 6 2 8
Cartesian
0.000 3.639 0.417
0.000 3.639 4.763
-1.909 6.946 0.417
-1.909 6.946 4.763
3.151 1.820 5.597
3.151 1.820 9.943
1.909 6.946 0.417
1.909 6.946 4.763
6.970 1.820 5.597
6.970 1.820 9.943
5.061 5.126 5.597
5.061 5.126 9.943
0.000 2.030 7.770
-3.303 7.750 7.770
1.758 1.015 2.590
3.303 7.750 7.770
8.363 1.015 2.590
5.061 6.735 2.590
0.000 5.843 7.770
5.061 2.922 2.590
0.000 0.000 0.000
0.000 0.000 5.180
-2.256 4.541 7.770
2.256 4.541 7.770
0.000 8.448 7.770
5.061 0.317 2.590
2.805 4.224 2.590
7.316 4.224 2.590
```

total moment: 0.000 μB/atom
space group: No. 194
E: -16.827 eV/atom
ρ: 3.1 g/cm³
V: 32.8 Å³ per atom
raw formation energy: -0.5411 eV per atom

=====

No. 7
Computed, not measured: a PBEsol-optimized structure of KSn2Pd2 at the meta-GGA SCAN level of DFT.

```
KSn2Pd2
1.0
-2.329 2.329 5.384
2.329 -2.329 5.384
2.329 2.329 -5.384
K Sn Pd
1 2 2
Cartesian
0.000 0.000 0.000
2.329 0.000 2.692
0.000 2.329 2.692
0.000 0.000 4.027
0.000 0.000 6.740
```

total moment: 0.000 μB/atom
space group: No. 139
E: -29.486 eV/atom
polymorph energy (0 for the lowest one): 10.2 kJ per mole of atoms
ΔH_f (0 K): -0.342 eV per atom
ρ: 7.0 g/cm³
V: 23.4 Å³ per atom

=====

No. 8
Computed, not measured: a PBEsol-optimized structure of Ba2InCo at the meta-GGA SCAN level of DFT.

```
Ba2InCo
1.0
3.794 0.000 0.000
0.000 3.794 0.000
0.000 0.000 8.493
Ba In Co
2 1 1
Cartesian
0.000 0.000 1.817
0.000 0.000 6.677
1.897 1.897 4.247
1.897 1.897 0.000
```

total moment: 0.330 μB/atom
space group: No. 123
E: -32.359 eV/atom
ΔH_f (0 K): 0.088 eV per atom
ρ: 6.1 g/cm³
V: 30.6 Å³ per atom

=====

No. 9
Computed, not measured: a PBEsol-optimized structure of HPbIN2 at the meta-GGA SCAN level of DFT.

```
HPbIN2
1.0
4.411 0.000 0.000
0.000 4.411 0.000
0.000 0.000 6.193
H Pb I N
1 1 1 2
Cartesian
0.000 0.000 0.000
2.206 2.206 3.097
2.206 2.206 0.000
0.000 2.206 3.097
2.206 0.000 3.097
```

total moment: 0.824 μB/atom
space group: No. 123
E: -25.001 eV/atom
ρ: 5.0 g/cm³
V: 24.1 Å³ per atom

=====

No. 10
Computed, not measured: a PBEsol-optimized structure of Si2BAs at the meta-GGA SCAN level of DFT.

```
Si2BAs
1.0
0.000 2.992 2.992
2.992 0.000 2.992
2.992 2.992 0.000
Si B As
2 1 1
Cartesian
1.496 1.496 1.496
4.489 4.489 4.489
0.000 0.000 0.000
2.992 2.992 2.992
```

total moment: 0.000 μB/atom
space group: No. 225
E: -10.737 eV/atom
polymorph energy (0 for the lowest one): 122.6 kJ per mole of atoms
ρ: 4.4 g/cm³
V: 13.4 Å³ per atom
raw formation energy: 1.1761 eV per atom

=====

No. 11
Computed, not measured: a PBEsol-optimized structure of GaSiOF2 at the meta-GGA SCAN level of DFT.

```
GaSiOF2
1.0
4.224 0.000 0.000
0.000 4.224 0.000
0.000 0.000 3.489
Ga Si O F
1 1 1 2
Cartesian
0.000 0.000 0.000
2.112 2.112 1.745
2.112 2.112 0.000
0.000 2.112 1.745
2.112 0.000 1.745
```

total moment: 0.000 μB/atom
space group: No. 123
E: -9.537 eV/atom
ρ: 4.0 g/cm³
V: 12.4 Å³ per atom
raw formation energy: -1.6019 eV per atom

=====

No. 12
Computed, not measured: a PBEsol-optimized structure of CaHfH3 at the meta-GGA SCAN level of DFT.

```
CaHfH3
1.0
3.894 0.000 0.000
0.000 3.894 0.000
0.000 0.000 3.894
Ca Hf H
1 1 3
Cartesian
0.000 0.000 0.000
1.947 1.947 1.947
0.000 1.947 1.947
1.947 0.000 1.947
1.947 1.947 0.000
```

total moment: 0.000 μB/atom
space group: No. 221
E: -16.794 eV/atom
ρ: 6.2 g/cm³
V: 11.8 Å³ per atom